#one
# YNbAl | OQMD | PBE | optimized geometry
# Magnetic moment = 1.000 μB/atom
data_YNbAl
_chemical_formula_sum 'Y4 Nb4 Al4'
_symmetry_space_group_name_H-M 'P 1'
_symmetry_Int_Tables_number 1
_symmetry_space_group_name_Hall 'P 1'
_cell_length_a 6.885
_cell_length_b 6.885
_cell_length_c 6.885
_cell_angle_alpha 90.00
_cell_angle_beta 90.00
_cell_angle_gamma 90.00
loop_
_atom_site_label
_atom_site_fract_x
_atom_site_fract_y
_atom_site_fract_z
Y1 0.000 0.000 0.000
Y2 0.000 0.500 0.500
Y3 0.500 0.000 0.500
Y4 0.500 0.500 0.000
Nb1 0.250 0.250 0.250
Nb2 0.250 0.750 0.750
Nb3 0.750 0.250 0.750
Nb4 0.750 0.750 0.250
Al1 0.250 0.250 0.750
Al2 0.250 0.750 0.250
Al3 0.750 0.250 0.250
Al4 0.750 0.750 0.750


#two
# YNbAl | OQMD | PBE | optimized geometry
# Magnetic moment = 0.009 μB/atom
data_YNbAl
_chemical_formula_sum 'Y4 Nb4 Al4'
_symmetry_space_group_name_H-M 'P 1'
_symmetry_Int_Tables_number 1
_symmetry_space_group_name_Hall 'P 1'
_cell_length_a 6.614
_cell_length_b 6.614
_cell_length_c 6.614
_cell_angle_alpha 90.00
_cell_angle_beta 90.00
_cell_angle_gamma 90.00
loop_
_atom_site_label
_atom_site_fract_x
_atom_site_fract_y
_atom_site_fract_z
Y1 0.000 0.000 0.000
Y2 0.000 0.500 0.500
Y3 0.500 0.000 0.500
Y4 0.500 0.500 0.000
Nb1 0.000 0.000 0.500
Nb2 0.000 0.500 0.000
Nb3 0.500 0.000 0.000
Nb4 0.500 0.500 0.500
Al1 0.250 0.250 0.750
Al2 0.250 0.750 0.250
Al3 0.750 0.250 0.250
Al4 0.750 0.750 0.750


The structure with the greatest stability is #two.


#one
# Nd3Al | OQMD | PBE | optimized geometry
# Magnetic moment = 0.018 μB/atom
data_Nd3Al
_chemical_formula_sum 'Nd6 Al2'
_symmetry_space_group_name_H-M 'P 1'
_symmetry_Int_Tables_number 1
_symmetry_space_group_name_Hall 'P 1'
_cell_length_a 7.105
_cell_length_b 7.105
_cell_length_c 5.412
_cell_angle_alpha 90.00
_cell_angle_beta 90.00
_cell_angle_gamma 120.00
loop_
_atom_site_label
_atom_site_fract_x
_atom_site_fract_y
_atom_site_fract_z
Nd1 0.178 0.356 0.250
Nd2 0.178 0.822 0.250
Nd3 0.356 0.178 0.750
Nd4 0.644 0.822 0.250
Nd5 0.822 0.178 0.750
Nd6 0.822 0.644 0.750
Al1 0.333 0.667 0.750
Al2 0.667 0.333 0.250


#two
# Nd3Al | OQMD | PBE | optimized geometry
# Magnetic moment = 0.012 μB/atom
data_Nd3Al
_chemical_formula_sum 'Nd6 Al2'
_symmetry_space_group_name_H-M 'P 1'
_symmetry_Int_Tables_number 1
_symmetry_space_group_name_Hall 'P 1'
_cell_length_a 4.817
_cell_length_b 4.817
_cell_length_c 10.038
_cell_angle_alpha 90.00
_cell_angle_beta 90.00
_cell_angle_gamma 90.00
loop_
_atom_site_label
_atom_site_fract_x
_atom_site_fract_y
_atom_site_fract_z
Nd1 0.000 0.000 0.000
Nd2 0.000 0.500 0.250
Nd3 0.000 0.500 0.750
Nd4 0.500 0.000 0.250
Nd5 0.500 0.000 0.750
Nd6 0.500 0.500 0.500
Al1 0.000 0.000 0.500
Al2 0.500 0.500 0.000


#three
# Nd3Al | OQMD | PBE | optimized geometry
# Magnetic moment = 0.006 μB/atom
data_Nd3Al
_chemical_formula_sum 'Nd3 Al1'
_symmetry_space_group_name_H-M 'P 1'
_symmetry_Int_Tables_number 1
_symmetry_space_group_name_Hall 'P 1'
_cell_length_a 4.904
_cell_length_b 4.904
_cell_length_c 4.904
_cell_angle_alpha 90.00
_cell_angle_beta 90.00
_cell_angle_gamma 90.00
loop_
_atom_site_label
_atom_site_fract_x
_atom_site_fract_y
_atom_site_fract_z
Nd1 0.000 0.000 0.500
Nd2 0.000 0.500 0.000
Nd3 0.500 0.000 0.000
Al1 0.500 0.500 0.500


#four
# Nd3Al | OQMD | PBE | optimized geometry
# Magnetic moment = 0.148 μB/atom
data_Nd3Al
_chemical_formula_sum 'Nd12 Al4'
_symmetry_space_group_name_H-M 'P 1'
_symmetry_Int_Tables_number 1
_symmetry_space_group_name_Hall 'P 1'
_cell_length_a 7.786
_cell_length_b 7.786
_cell_length_c 7.786
_cell_angle_alpha 90.00
_cell_angle_beta 90.00
_cell_angle_gamma 90.00
loop_
_atom_site_label
_atom_site_fract_x
_atom_site_fract_y
_atom_site_fract_z
Nd1 0.000 0.000 0.000
Nd2 0.000 0.500 0.500
Nd3 0.250 0.250 0.250
Nd4 0.250 0.250 0.750
Nd5 0.250 0.750 0.250
Nd6 0.250 0.750 0.750
Nd7 0.500 0.000 0.500
Nd8 0.500 0.500 0.000
Nd9 0.750 0.250 0.250
Nd10 0.750 0.250 0.750
Nd11 0.750 0.750 0.250
Nd12 0.750 0.750 0.750
Al1 0.000 0.000 0.500
Al2 0.000 0.500 0.000
Al3 0.500 0.000 0.000
Al4 0.500 0.500 0.500


The structure with the greatest stability is #one.